A relaxed Nd2SmS crystal, computed with PBE.

E_tot = -5.485 eV per atom
Raw formation energy = -890 meV/atom
Total moment = 0.0000 μB/atom

Unit cell a=3.8458 b=3.8458 c=28.9259 alpha=90.00 beta=90.00 gamma=120.00
Space group R-3m (No. 166, hexagonal axes)
Unique sites:
1 Nd 0.0000 0.0000 0.2284 x6
2 Sm 0.0000 0.0000 0.0000 x3
3 S 0.0000 0.0000 0.5000 x3